Entry 1:
Density functional theory data (GGA-PBE) for a geometry-optimized Tb3Tm3Sc structure.

Summary:
The space group is No. 148. The crystal system is trigonal. The calculation puts the total energy at -32.46 eV per formula unit.

a b c (Å): 14.1846 14.1846 14.1846
angles (deg): 24.81 24.81 24.81
Element x y z (fractional)
Tb 0.1316 0.4621 0.8004
Tb 0.1996 0.8684 0.5379
Tb 0.4621 0.8004 0.1316
Tb 0.5379 0.1996 0.8684
Tb 0.8004 0.1316 0.4621
Tb 0.8684 0.5379 0.1996
Tm 0.0629 0.7284 0.3977
Tm 0.2716 0.6023 0.9371
Tm 0.3977 0.0629 0.7284
Tm 0.6023 0.9371 0.2716
Tm 0.7284 0.3977 0.0629
Tm 0.9371 0.2716 0.6023
Sc 0.3333 0.3333 0.3333
Sc 0.6667 0.6667 0.6667

---

Entry 2:
Density functional theory data (GGA-PBE) for a geometry-optimized VPt2C2 structure.

Summary:
The space group is No. 127. The crystal system is tetragonal. The calculation puts the total energy at -32.55 eV per formula unit.

a b c (Å): 6.7527 6.7527 2.8383
angles (deg): 90.00 90.00 90.00
Element x y z (fractional)
V 0.0000 0.0000 0.0000
V 0.5000 0.5000 0.0000
Pt 0.1420 0.3580 0.0000
Pt 0.3580 0.8580 0.0000
Pt 0.6420 0.1420 0.0000
Pt 0.8580 0.6420 0.0000
C 0.2073 0.7073 0.5000
C 0.2927 0.2073 0.5000
C 0.7073 0.7927 0.5000
C 0.7927 0.2927 0.5000

---

Entry 3:
Density functional theory data (GGA-PBE) for a geometry-optimized Er2TiGa3 structure.

Summary:
The space group is No. 65. The crystal system is orthorhombic. The calculation puts the total energy at -28.71 eV per formula unit.

a b c (Å): 7.1743 7.1743 3.8911
angles (deg): 90.00 90.00 143.21
Element x y z (fractional)
Er 0.1658 0.8342 0.0000
Er 0.8342 0.1658 0.0000
Ti 0.5000 0.5000 0.0000
Ga 0.0000 0.0000 0.5000
Ga 0.3506 0.6494 0.5000
Ga 0.6494 0.3506 0.5000

---

Entry 4:
Density functional theory data (GGA-PBE) for a geometry-optimized Na2LiPbCl5 structure.

Summary:
The space group is No. 36. The crystal system is orthorhombic. The value obtained for the energy relative to the elements, uncorrected is -1.55 eV per atom.

a b c (Å): 9.4450 9.4450 13.0062
angles (deg): 90.00 90.00 155.30
Element x y z (fractional)
Na 0.0542 0.9458 0.5000
Na 0.1084 0.8916 0.1996
Na 0.8916 0.1084 0.6996
Na 0.9458 0.0542 0.0000
Li 0.4229 0.5771 0.2779
Li 0.5771 0.4229 0.7779
Pb 0.2189 0.7811 0.9160
Pb 0.7811 0.2189 0.4160
Cl 0.0638 0.9362 0.8731
Cl 0.2923 0.7077 0.2598
Cl 0.3108 0.6892 0.5720
Cl 0.3772 0.6228 0.8751
Cl 0.4948 0.5052 0.1323
Cl 0.5052 0.4948 0.6323
Cl 0.6228 0.3772 0.3751
Cl 0.6892 0.3108 0.0720
Cl 0.7077 0.2923 0.7598
Cl 0.9362 0.0638 0.3731

---

Entry 5:
Density functional theory data (GGA-PBE) for a geometry-optimized Tb10Pr6Th structure.

Summary:
The space group is No. 162. The crystal system is trigonal. The calculation puts the total energy at -79.97 eV per formula unit.

a b c (Å): 9.7612 9.7612 7.0089
angles (deg): 90.00 90.00 120.00
Element x y z (fractional)
Tb 0.0000 0.2725 0.3188
Tb 0.0000 0.7275 0.6812
Tb 0.2725 0.0000 0.3188
Tb 0.2725 0.2725 0.6812
Tb 0.3333 0.6667 0.0000
Tb 0.3333 0.6667 0.5000
Tb 0.6667 0.3333 0.0000
Tb 0.6667 0.3333 0.5000
Tb 0.7275 0.0000 0.6812
Tb 0.7275 0.7275 0.3188
Pr 0.0000 0.3762 0.8014
Pr 0.0000 0.6238 0.1986
Pr 0.3762 0.0000 0.8014
Pr 0.3762 0.3762 0.1986
Pr 0.6238 0.0000 0.1986
Pr 0.6238 0.6238 0.8014
Th 0.0000 0.0000 0.0000

---

Entry 6:
Density functional theory data (GGA-PBE) for a geometry-optimized Ta2MnTe structure.

Summary:
The space group is No. 123. The crystal system is tetragonal. The value obtained for the energy relative to the elements, uncorrected is 0.32 eV per atom.

a b c (Å): 4.4966 4.4966 3.4958
angles (deg): 90.00 90.00 90.00
Element x y z (fractional)
Ta 0.0000 0.5000 0.0000
Ta 0.5000 0.0000 0.0000
Mn 0.0000 0.0000 0.5000
Te 0.5000 0.5000 0.5000

---

Entry 7:
Density functional theory data (GGA-PBE) for a geometry-optimized CrTeBr structure.

Summary:
The space group is No. 131. The crystal system is tetragonal. The value obtained for the energy relative to the elements, uncorrected is -0.44 eV per atom.

a b c (Å): 7.7687 7.7687 5.5637
angles (deg): 90.00 90.00 90.00
Element x y z (fractional)
Cr 0.0000 0.2664 0.0000
Cr 0.0000 0.7336 0.0000
Cr 0.2664 0.0000 0.5000
Cr 0.7336 0.0000 0.5000
Te 0.0000 0.2291 0.5000
Te 0.0000 0.7709 0.5000
Te 0.2291 0.0000 0.0000
Te 0.7709 0.0000 0.0000
Br 0.2281 0.5000 0.0000
Br 0.5000 0.2281 0.5000
Br 0.5000 0.7719 0.5000
Br 0.7719 0.5000 0.0000

---

Entry 8:
Density functional theory data (GGA-PBE) for a geometry-optimized Hf2URh structure.

Summary:
The space group is No. 123. The crystal system is tetragonal. The calculation puts the total energy at -39.00 eV per formula unit.

a b c (Å): 4.9932 4.9932 3.0878
angles (deg): 90.00 90.00 90.00
Element x y z (fractional)
Hf 0.0000 0.5000 0.0000
Hf 0.5000 0.0000 0.0000
U 0.0000 0.0000 0.5000
Rh 0.5000 0.5000 0.5000